# MnTcO4 PBE with a Hubbard U optimized geometry
# E_tot ... -0.2835 hartree per atom
# Size of the total moment ... 24.103 μB per cell
# Volume ... 352.6 Å³ per cell
# Offset from the most stable computed form ... 0.00 kcal/mol of atoms
data_MnTcO4
_space_group_name_H-M_alt 'C m c m'
_space_group_IT_number 63
_space_group_name_Hall '-C 2c 2'
_cell_length_a 5.863
_cell_length_b 8.927
_cell_length_c 6.738
_cell_angle_alpha 90.00
_cell_angle_beta 90.00
_cell_angle_gamma 90.00
loop_
_atom_site_label
_atom_site_type_symbol
_atom_site_fract_x
_atom_site_fract_y
_atom_site_fract_z
Mn1 Mn 0.000 0.000 0.000
Tc1 Tc 0.000 0.356 0.250
O1 O 0.000 0.239 0.038
O2 O 0.243 0.028 0.750